Below is a relaxed Tm2FeSi2MoC crystal, with properties calculated at the PBE level.

Unit cell a=10.857 b=3.780 c=6.917 alpha=90.00 beta=127.40 gamma=90.00
Space group Cm (No. 8)
Unique sites:
Tm  0.000  0.000  0.000 [2 per cell]
Tm  0.139  0.000  0.591 [2 per cell]
Fe  0.274  0.500  0.383 [2 per cell]
Si  0.196  0.500  0.970 [2 per cell]
Si  0.414  0.000  0.605 [2 per cell]
Mo  0.370  0.000  0.209 [2 per cell]
C  0.081  0.500  0.303 [2 per cell]

Computed properties:
Total magnetization in Bohr magnetons per cell: 0.8
Final energy in eV per cell: -104.7